Record 1
{
  "formula": "AcTmPt2",
  "functional": "PBE",
  "state": "optimized geometry",
  "ef_ev_per_atom": -1.169,
  "sg": "P2_1/m, No. 11",
  "dos_ef_per_ev_atom": 0.504,
  "cell": [[6.112, 0.000, 0.000], [0.000, 4.699, 0.000], [-2.969, 0.000, 6.941]],
  "species": ["Ac", "Ac", "Tm", "Tm", "Pt", "Pt", "Pt", "Pt"],
  "frac_coords": [[0.209, 0.250, 0.380], [0.791, 0.750, 0.620], [0.287, 0.250, 0.911], [0.713, 0.750, 0.089], [0.187, 0.750, 0.083], [0.336, 0.750, 0.709], [0.664, 0.250, 0.291], [0.813, 0.250, 0.917]]
}


Record 2
{
  "formula": "AcTmPt4",
  "functional": "PBE",
  "state": "optimized geometry",
  "ef_ev_per_atom": -1.037,
  "sg": "F-43m, No. 216",
  "dos_ef_per_ev_atom": 0.400,
  "cell": [[0.000, 3.916, 3.916], [3.916, 0.000, 3.916], [3.916, 3.916, 0.000]],
  "species": ["Ac", "Tm", "Pt", "Pt", "Pt", "Pt"],
  "frac_coords": [[0.000, 0.000, 0.000], [0.750, 0.750, 0.750], [0.376, 0.376, 0.376], [0.376, 0.376, 0.873], [0.376, 0.873, 0.376], [0.873, 0.376, 0.376]]
}